No. 1
Density functional theory data (PBE-GGA) for a relaxed structure of CoCSeN2.

Cell: 3.373 3.373 7.849 Å, 90.00 90.00 90.00°
Positions (direct):
Se: 0.000 0.000 0.500
C: 0.500 0.500 0.500
N: 0.000 0.500 0.000
N: 0.500 0.000 0.000
Co: 0.000 0.000 0.000

Summary:
For the formation energy (no corrections), the calculation gives 1.898 eV per atom. As for the space group: P4/mmm (123).



No. 2
Density functional theory data (PBE-GGA) for a relaxed structure of Be2V7H2.

Cell: 5.056 4.896 4.896 Å, 99.72 94.77 94.77°
Positions (direct):
V: 0.143 0.665 0.665
V: 0.299 0.137 0.507
V: 0.857 0.335 0.335
H: 0.500 0.720 0.720
V: 0.701 0.493 0.863
H: 0.500 0.280 0.280
V: 0.500 0.000 0.000
V: 0.701 0.863 0.493
Be: 0.000 0.855 0.145
V: 0.299 0.507 0.137
Be: 0.000 0.145 0.855

Summary:
As for the space group: C2/m (12). The value obtained for the total energy is -77.45 eV/cell.



No. 3
Density functional theory data (PBE-GGA) for a relaxed structure of CrFe2P.

Cell: 4.644 4.644 4.644 Å, 144.98 129.85 62.63°
Positions (direct):
Fe: 0.977 0.977 0.000
Cr: 0.250 0.750 0.500
P: 0.750 0.250 0.500
Fe: 0.523 0.523 0.000

Summary:
The formation energy is -0.8 eV per formula unit. As for the space group: Immm (71).



No. 4
Density functional theory data (PBE-GGA) for a relaxed structure of FeCoAg2.

Cell: 2.715 2.715 8.646 Å, 90.00 90.00 110.08°
Positions (direct):
Ag: 0.000 0.000 0.984
Fe: 0.500 0.500 0.723
Co: 0.000 0.000 0.525
Ag: 0.500 0.500 0.268

Summary:
The formation energy is 1.1 eV per formula unit. As for the space group: Cmm2 (35).



No. 5
Density functional theory data (PBE-GGA) for a relaxed structure of BeZn2Cd.

Cell: 8.814 8.814 8.814 Å, 18.85 18.85 18.85°
Positions (direct):
Zn: 0.984 0.984 0.984
Zn: 0.516 0.516 0.516
Be: 0.250 0.250 0.250
Cd: 0.750 0.750 0.750

Summary:
The formation energy is 0.9 eV per formula unit. As for the space group: R-3m (166).



No. 6
Density functional theory data (PBE-GGA) for a relaxed structure of CaZn3Pt3.

Cell: 6.866 6.866 6.866 Å, 90.00 90.00 90.00°
Positions (direct):
Pt: 0.250 0.000 0.500
Zn: 0.000 0.750 0.500
Zn: 0.750 0.500 0.000
Pt: 0.500 0.750 0.000
Zn: 0.500 0.000 0.750
Pt: 0.000 0.500 0.750
Pt: 0.500 0.250 0.000
Zn: 0.500 0.000 0.250
Pt: 0.750 0.000 0.500
Zn: 0.000 0.250 0.500
Zn: 0.250 0.500 0.000
Pt: 0.000 0.500 0.250
Ca: 0.000 0.000 0.000
Ca: 0.500 0.500 0.500

Summary:
The formation energy is -1.1 eV per formula unit. As for the space group: Pm-3n (223).



No. 7
Density functional theory data (PBE-GGA) for a relaxed structure of Na2Tl5Cd4.

Cell: 6.364 7.690 7.990 Å, 73.37 66.53 65.56°
Positions (direct):
Cd: 0.753 0.588 0.906
Tl: 0.749 0.827 0.177
Tl: 0.754 0.173 0.823
Tl: 0.251 0.173 0.823
Cd: 0.247 0.412 0.094
Tl: 0.246 0.827 0.177
Na: 0.313 0.679 0.695
Cd: 0.755 0.917 0.572
Tl: 0.000 0.500 0.500
Na: 0.687 0.321 0.305
Cd: 0.245 0.083 0.428

Summary:
The formation energy is 0.0 eV per formula unit. As for the space group: C2/m (12).



No. 8
Density functional theory data (PBE-GGA) for a relaxed structure of FeRe2Si.

Cell: 4.236 4.236 4.236 Å, 60.00 60.00 60.00°
Positions (direct):
Re: 0.250 0.250 0.250
Re: 0.000 0.000 0.000
Fe: 0.500 0.500 0.500
Si: 0.750 0.750 0.750

Summary:
For the formation energy (no corrections), the calculation gives 0.077 eV per atom. As for the space group: F-43m (216).



No. 9
Density functional theory data (PBE-GGA) for a relaxed structure of CaTePb2.

Cell: 6.298 6.298 6.298 Å, 140.90 127.64 67.24°
Positions (direct):
Te: 0.506 0.506 0.000
Ca: 0.743 0.243 0.500
Pb: 0.252 0.752 0.500
Pb: 0.998 0.998 0.000

Summary:
For the formation energy (no corrections), the calculation gives -0.417 eV per atom. As for the space group: Imm2 (44).



No. 10
Density functional theory data (PBE-GGA) for a relaxed structure of MgPa2Ta.

Cell: 3.046 3.046 12.017 Å, 82.72 82.72 60.00°
Positions (direct):
Pa: 0.091 0.091 0.726
Mg: 0.000 0.000 0.000
Pa: 0.909 0.909 0.274
Ta: 0.500 0.500 0.500

Summary:
The formation energy is 1.3 eV per formula unit. As for the space group: R-3m (166).



No. 11
Density functional theory data (PBE-GGA) for a relaxed structure of Ta2RhI.

Cell: 5.713 5.713 7.741 Å, 68.35 68.35 90.00°
Positions (direct):
Ta: 0.875 0.815 0.750
Ta: 0.185 0.625 0.250
Rh: 0.500 0.500 0.000
I: 0.750 0.250 0.500
Ta: 0.565 0.125 0.250
Ta: 0.375 0.435 0.750
Rh: 0.250 0.750 0.500
I: 0.000 0.000 0.000

Summary:
For the formation energy (no corrections), the calculation gives 1.029 eV per atom. As for the space group: I-42d (122).



No. 12
Density functional theory data (PBE-GGA) for a relaxed structure of K2Cd3In4Ge.

Cell: 4.784 4.784 12.778 Å, 90.00 90.00 90.00°
Positions (direct):
Cd: 0.500 0.000 0.856
Cd: 0.000 0.500 0.144
K: 0.500 0.000 0.257
In: 0.000 0.000 0.000
In: 0.500 0.500 0.000
In: 0.000 0.500 0.369
K: 0.000 0.500 0.743
In: 0.500 0.000 0.631
Ge: 0.500 0.500 0.500
Cd: 0.000 0.000 0.500

Summary:
The formation energy is -0.8 eV per formula unit. As for the space group: P-4m2 (115).